Version P
A relaxed structure of BaZnGe3. Source: Alexandria, functional PBE.

Cell: 4.773 4.773 10.190 Å, 90.00 90.00 90.00°
Space group I4mm (No. 107)
Asymmetric unit:
Ba 0.000 0.000 0.000
Zn 0.000 0.000 0.369
Ge 0.000 0.000 0.625
Ge 0.000 0.500 0.250

- crystal system = tetragonal
- DOS at the Fermi energy (states/eV/atom) = 0.177

=====

Version Q
A relaxed structure of BaZnGe3. Source: Alexandria, functional PBE.

Cell: 5.921 5.921 5.921 Å, 90.00 90.00 90.00°
Space group Pm-3m (No. 221)
Asymmetric unit:
Ba 0.000 0.000 0.000
Zn 0.500 0.500 0.500
Ge 0.000 0.000 0.500

- crystal system = cubic
- DOS at the Fermi energy (states/eV/atom) = 1.202

=====

Version R
A relaxed structure of BaZnGe3. Source: Alexandria, functional PBE.

Cell: 5.052 5.052 5.052 Å, 90.00 90.00 90.00°
Space group Pm-3m (No. 221)
Asymmetric unit:
Ba 0.000 0.000 0.000
Zn 0.500 0.500 0.500
Ge 0.000 0.500 0.500

- crystal system = cubic
- DOS at the Fermi energy (states/eV/atom) = 0.691

=====

In meV per atom, relative to the most stable structure: version P 0; version Q 1701; version R 381.

=====

Version P
A relaxed structure of BaZn3Ge. Source: Alexandria, functional PBE.

Cell: 6.057 6.057 6.057 Å, 90.00 90.00 90.00°
Space group Pm-3m (No. 221)
Asymmetric unit:
Ba 0.000 0.000 0.000
Zn 0.000 0.000 0.500
Ge 0.500 0.500 0.500

- crystal system = cubic
- DOS at the Fermi energy (states/eV/atom) = 0.938

=====

Version Q
A relaxed structure of BaZn3Ge. Source: Alexandria, functional PBE.

Cell: 4.531 4.596 22.007 Å, 90.00 90.00 90.00°
Space group Imma (No. 74)
Asymmetric unit:
Ba 0.000 0.250 0.154
Zn 0.000 0.250 0.461
Zn 0.000 0.250 0.723
Zn 0.000 0.250 0.969
Ge 0.000 0.250 0.598

- crystal system = orthorhombic
- DOS at the Fermi energy (states/eV/atom) = 0.388

=====

In meV per atom, relative to the most stable structure: version P 1383; version Q 0.

=====

Version P
A relaxed structure of BaZr3Ge. Source: Alexandria, functional PBE.

Cell: 5.270 5.270 5.270 Å, 90.00 90.00 90.00°
Space group Pm-3m (No. 221)
Asymmetric unit:
Ba 0.000 0.000 0.000
Zr 0.000 0.500 0.500
Ge 0.500 0.500 0.500

- crystal system = cubic
- DOS at the Fermi energy (states/eV/atom) = 1.788

=====

Version Q
A relaxed structure of BaZr3Ge. Source: Alexandria, functional PBE.

Cell: 5.267 5.267 5.267 Å, 90.00 90.00 90.00°
Space group Pm-3m (No. 221)
Asymmetric unit:
Ba 0.000 0.000 0.000
Zr 0.000 0.000 0.500
Ge 0.500 0.500 0.500

- crystal system = cubic
- DOS at the Fermi energy (states/eV/atom) = 2.423

=====

In meV per atom, relative to the most stable structure: version P 0; version Q 1469.

=====

Version P
A relaxed structure of BaH. Source: Alexandria, functional PBE.

Cell: 7.594 4.402 7.663 Å, 90.00 91.51 90.00°
Space group C2/m (No. 12)
Asymmetric unit:
Ba 0.174 0.000 0.222
H 0.163 0.000 0.877

- crystal system = monoclinic
- DOS at the Fermi energy (states/eV/atom) = 0.573

=====

Version Q
A relaxed structure of BaH. Source: Alexandria, functional PBE.

Cell: 7.318 7.318 4.515 Å, 90.00 90.00 90.00°
Space group P4_2/mnm (No. 136)
Asymmetric unit:
Ba 0.208 0.208 0.000
H 0.150 0.850 0.000

- crystal system = tetragonal
- DOS at the Fermi energy (states/eV/atom) = 0.874

=====

Version R
A relaxed structure of BaH. Source: Alexandria, functional PBE.

Cell: 6.210 6.210 6.210 Å, 90.00 90.00 90.00°
Space group F-43m (No. 216)
Asymmetric unit:
Ba 0.000 0.000 0.000
H 0.250 0.250 0.250

- crystal system = cubic
- DOS at the Fermi energy (states/eV/atom) = 0.638

=====

In meV per atom, relative to the most stable structure: version P 0; version Q 40; version R 82.